No. 1
VASP calculation (PBE) on a geometry-optimized PrNd2Mg3CuPt2 structure.

Output
The total energy is -4.529 eV/atom.

Unit cell a=4.0947 b=13.2001 c=7.6120 alpha=90.00 beta=90.00 gamma=90.00
Space group Amm2 (No. 38)
Asymmetric unit:
1 Pr 0.0000 0.0000 0.0000 [2 per cell]
2 Nd 0.0000 0.2072 0.3782 [4 per cell]
3 Mg 0.5000 0.0000 0.3452 [2 per cell]
4 Mg 0.5000 0.1207 0.7054 [4 per cell]
5 Cu 0.0000 0.0000 0.5843 [2 per cell]
6 Pt 0.5000 0.1677 0.0860 [4 per cell]



No. 2
VASP calculation (PBE) on a geometry-optimized Pr2NdMg3CuPt2 structure.

Output
The total energy is -4.526 eV/atom.

Unit cell a=4.1051 b=13.2016 c=7.6299 alpha=90.00 beta=90.00 gamma=90.00
Space group Amm2 (No. 38)
Asymmetric unit:
1 Pr 0.0000 0.2072 0.0000 [4 per cell]
2 Nd 0.0000 0.0000 0.3786 [2 per cell]
3 Mg 0.5000 0.0000 0.0339 [2 per cell]
4 Mg 0.5000 0.1199 0.6721 [4 per cell]
5 Cu 0.0000 0.0000 0.7917 [2 per cell]
6 Pt 0.5000 0.1656 0.2934 [4 per cell]



No. 3
VASP calculation (PBE) on a geometry-optimized Nd2Mg4CuPt structure.

Output
The total energy is -3.623 eV/atom.

Unit cell a=8.2031 b=4.3349 c=10.3504 alpha=90.00 beta=90.00 gamma=90.00
Space group Amm2 (No. 38)
Asymmetric unit:
1 Nd 0.0000 0.0000 0.0000 [2 per cell]
2 Nd 0.5000 0.0000 0.1191 [2 per cell]
3 Mg 0.1956 0.0000 0.7093 [4 per cell]
4 Mg 0.3051 0.0000 0.4055 [4 per cell]
5 Cu 0.0000 0.0000 0.2883 [2 per cell]
6 Pt 0.5000 0.0000 0.8302 [2 per cell]



Results for calculated volume: 22.857, 22.972, 23.003 (in Å³ per atom, following the order of the records).